DFT (PBE) results for crystalline YGeP2O at its relaxed geometry.

Its density is 3283 kg/m³. The excess energy over the best structure of this formula in the dataset comes out at 495.6 meV/atom. The calculation puts the uncorrected formation energy at 0.029 eV/atom.

It has space group P4/mmm (No. 123), with a = 5.4062 Å, b = 5.4062 Å, c = 4.1451 Å, α = 90.00°, β = 90.00° and γ = 90.00°. The asymmetric unit holds Y at (0.0000, 0.0000, 0.0000), Ge at (0.5000, 0.5000, 0.5000), P at (0.0000, 0.5000, 0.0000) and O at (0.0000, 0.0000, 0.5000).


DFT (PBE) results for crystalline Gd2CoPt at its relaxed geometry.

Its density is 11370 kg/m³. The excess energy over the best structure of this formula in the dataset comes out at 25.7 meV/atom.

It has space group Fm-3m (No. 225), with a = 6.9252 Å, b = 6.9252 Å, c = 6.9252 Å, α = 90.00°, β = 90.00° and γ = 90.00°. The asymmetric unit holds Gd at (0.2500, 0.2500, 0.2500), Co at (0.0000, 0.0000, 0.0000) and Pt at (0.0000, 0.0000, 0.5000).


DFT (PBE) results for crystalline Cs2UGe2Se6 at its relaxed geometry.

Its density is 5012 kg/m³. The calculation puts the uncorrected formation energy at -0.796 eV/atom.

It has space group C2/m (No. 12), with a = 13.3336 Å, b = 7.7344 Å, c = 8.5283 Å, α = 90.00°, β = 122.22° and γ = 90.00°. The asymmetric unit holds Cs at (0.2217, 0.0000, 0.2155), U at (0.0000, 0.0000, 0.5000), Ge at (0.0435, 0.5000, 0.1756), Se at (0.0372, 0.2445, 0.7708) and Se at (0.2412, 0.0000, 0.6661).


DFT (PBE) results for crystalline TbDy5Ho5 at its relaxed geometry.

Its density is 8417 kg/m³. The excess energy over the best structure of this formula in the dataset comes out at 0.0 meV/atom.

It has space group P-1 (No. 2), with a = 6.7972 Å, b = 6.9143 Å, c = 8.2516 Å, α = 76.19°, β = 76.88° and γ = 72.64°. The asymmetric unit holds Tb at (0.0000, 0.0000, 0.0000), Dy at (0.0000, 0.5000, 0.0000), Dy at (0.1567, 0.6311, 0.3581), Dy at (0.3262, 0.7663, 0.6539), Ho at (0.2079, 0.1380, 0.3143), Ho at (0.3531, 0.2472, 0.7208) and Ho at (0.5000, 0.5000, 0.0000).


DFT (PBE) results for crystalline Pm2PrAl at its relaxed geometry.

Its density is 6453 kg/m³. The excess energy over the best structure of this formula in the dataset comes out at 19.9 meV/atom.

It has space group Pmmn (No. 59, origin choice 2), with a = 5.4927 Å, b = 6.8670 Å, c = 6.2480 Å, α = 90.00°, β = 90.00° and γ = 90.00°. The asymmetric unit holds Pm at (0.2500, 0.0071, 0.1581), Pr at (0.2500, 0.2500, 0.6195) and Al at (0.2500, 0.7500, 0.6762).


DFT (PBE) results for crystalline K3Rb2Hg2Au4 at its relaxed geometry.

Its density is 5802 kg/m³. The value obtained for the total DFT energy (no corrections) is -1.884 eV/atom.

It has space group I4/mmm (No. 139), with a = 5.5681 Å, b = 5.5681 Å, c = 27.2759 Å, α = 90.00°, β = 90.00° and γ = 90.00°. The asymmetric unit holds K at (0.0000, 0.0000, 0.0000), K at (0.0000, 0.0000, 0.1454), Rb at (0.0000, 0.0000, 0.3204), Hg at (0.0000, 0.0000, 0.4447) and Au at (0.0000, 0.5000, 0.0844).


DFT (PBE) results for crystalline Cs6P4W at its relaxed geometry.

Its density is 4088 kg/m³. The value obtained for the total DFT energy (no corrections) is -3.998 eV/atom.

It has space group P6_3mc (No. 186), with a = 10.8596 Å, b = 10.8596 Å, c = 8.7904 Å, α = 90.00°, β = 90.00° and γ = 120.00°. The asymmetric unit holds Cs at (0.0727, 0.5364, 0.0000), Cs at (0.1472, 0.2945, 0.6821), P at (0.2152, 0.4304, 0.3133), P at (0.3333, 0.6667, 0.6622) and W at (0.3333, 0.6667, 0.3970).


DFT (PBE) results for crystalline Ta2AgRu at its relaxed geometry.

Its density is 14264 kg/m³. The excess energy over the best structure of this formula in the dataset comes out at 49.7 meV/atom.

It has space group P4/mmm (No. 123), with a = 4.0632 Å, b = 4.0632 Å, c = 4.0252 Å, α = 90.00°, β = 90.00° and γ = 90.00°. The asymmetric unit holds Ta at (0.0000, 0.5000, 0.0000), Ag at (0.0000, 0.0000, 0.5000) and Ru at (0.5000, 0.5000, 0.5000).


DFT (PBE) results for crystalline La2YCuTe5 at its relaxed geometry.

Its density is 6447 kg/m³. The calculation puts the uncorrected formation energy at -1.308 eV/atom.

It has space group Cmc2_1 (No. 36), with a = 4.3811 Å, b = 19.1832 Å, c = 13.0958 Å, α = 90.00°, β = 90.00° and γ = 90.00°. The asymmetric unit holds La at (0.0000, 0.1101, 0.0000), La at (0.0000, 0.1227, 0.6226), Y at (0.0000, 0.1910, 0.3238), Cu at (0.0000, 0.4290, 0.7685), Te at (0.0000, 0.0412, 0.3721), Te at (0.0000, 0.2882, 0.9858), Te at (0.0000, 0.3105, 0.6588), Te at (0.0000, 0.3545, 0.3140) and Te at (0.0000, 0.5005, 0.0962).


DFT (PBE) results for crystalline TiZn4Ag at its relaxed geometry.

Its density is 7379 kg/m³. The excess energy over the best structure of this formula in the dataset comes out at 0.0 meV/atom.

It has space group C2/m (No. 12), with a = 7.4500 Å, b = 4.3003 Å, c = 5.8633 Å, α = 90.00°, β = 90.38° and γ = 90.00°. The asymmetric unit holds Ti at (0.0000, 0.0000, 0.0000), Zn at (0.1661, 0.5000, 0.7618), Zn at (0.1674, 0.5000, 0.2383) and Ag at (0.0000, 0.0000, 0.5000).


DFT (PBE) results for crystalline NaPtSO5 at its relaxed geometry.

Its density is 4726 kg/m³. The calculation puts the uncorrected formation energy at -1.193 eV/atom.

It has space group C2/c (No. 15), with a = 7.8124 Å, b = 8.9380 Å, c = 6.7020 Å, α = 90.00°, β = 97.47° and γ = 90.00°. The asymmetric unit holds Na at (0.0000, 0.1284, 0.2500), Pt at (0.0000, 0.5000, 0.0000), S at (0.0000, 0.2176, 0.7500), O at (0.0000, 0.3955, 0.2500), O at (0.1021, 0.1269, 0.9035) and O at (0.1231, 0.3215, 0.6513).


DFT (PBE) results for crystalline ZrBeZn2 at its relaxed geometry.

Its density is 5783 kg/m³. The value obtained for the total DFT energy (no corrections) is -3.459 eV/atom.

It has space group I-42d (No. 122), with a = 3.7433 Å, b = 3.7433 Å, c = 18.9391 Å, α = 90.00°, β = 90.00° and γ = 90.00°. The asymmetric unit holds Zr at (0.0000, 0.0000, 0.0000), Be at (0.0000, 0.0000, 0.5000) and Zn at (0.2203, 0.2500, 0.6250).